The following is a DFT calculation (PBE) of a relaxed HfGaMo3 crystal.

Theoretical density = 9.07 Mg/m³
Offset from the most stable computed form = 0.0 meV/atom
Spin magnetization = 0.00 Bohr magnetons per cell

```
5
Lattice="4.613 0.000 0.000 0.000 4.613 0.000 0.000 0.000 4.613" Properties=species:S:1:pos:R:3 pbc="T T T"
Hf 0.000 0.000 0.000
Ga 2.307 2.307 2.307
Mo 0.000 2.307 2.307
Mo 2.307 0.000 2.307
Mo 2.307 2.307 0.000
```